Arrangement one

InC2: optimized geometry, PBE.

Results
Total moment in μB/f.u.: 0.00

Cell lengths 3.8279, 5.5336, 9.2081 Å; angles 90.00, 90.00, 90.00 degrees
Closest atoms and distances in Å follow each position.
Sites, in units of the cell vectors:
C 0.2500 0.1257 0.1468  1 C 1.29
In 0.2500 0.2103 0.3908  5 C 2.30-2.42
In 0.2500 0.7103 0.1092  5 C 2.30-2.42
C 0.2500 0.2865 0.0451  1 C 1.29
In 0.7500 0.7897 0.6092  5 C 2.30-2.42
C 0.2500 0.7865 0.4549  1 C 1.29
C 0.2500 0.6257 0.3532  1 C 1.29
In 0.7500 0.2897 0.8908  5 C 2.30-2.42
C 0.7500 0.7135 0.9549  1 C 1.29
C 0.7500 0.3743 0.6468  1 C 1.29
C 0.7500 0.8743 0.8532  1 C 1.29
C 0.7500 0.2135 0.5451  1 C 1.29


Arrangement two

InC2: optimized geometry, PBE.

Results
Total moment in μB/f.u.: 0.00

Cell lengths 2.6081, 2.6081, 5.2146 Å; angles 90.00, 90.00, 90.00 degrees
Closest atoms and distances in Å follow each position.
Sites, in units of the cell vectors:
In 0.0000 0.0000 0.0000  4 In 2.61, 8 C 2.92
C 0.0000 0.5000 0.5000  4 C 1.84
C 0.5000 0.0000 0.5000  4 C 1.84


Arrangement three

InC2: optimized geometry, PBE.

Results
Total moment in μB/f.u.: 0.00

Cell lengths 3.6044, 3.6044, 12.6881 Å; angles 90.00, 90.00, 120.00 degrees
Closest atoms and distances in Å follow each position.
Sites, in units of the cell vectors:
In 0.0000 0.0000 0.5000  6 C 2.42
C 0.0000 0.0000 0.9457  1 C 1.38
C 0.3333 0.6667 0.5975  1 C 1.26
In 0.3333 0.6667 0.8662  4 C 2.15-2.31
C 0.0000 0.0000 0.0543  1 C 1.38
In 0.6667 0.3333 0.1338  4 C 2.15-2.31
C 0.6667 0.3333 0.3035  1 C 1.26
C 0.3333 0.6667 0.6965  1 C 1.26
C 0.6667 0.3333 0.4025  1 C 1.26


Arrangement four

InC2: optimized geometry, PBE.

Results
Total moment in μB/f.u.: 0.00

Cell lengths 3.6570, 3.6570, 8.2967 Å; angles 74.25, 74.25, 56.65 degrees
Closest atoms and distances in Å follow each position.
Sites, in units of the cell vectors:
In 0.7766 0.7766 0.7596  5 C 2.33-2.43
C 0.0380 0.0380 0.9176  1 C 1.30
C 0.5626 0.5626 0.4237  1 C 1.27
C 0.9620 0.9620 0.0824  1 C 1.30
In 0.2234 0.2234 0.2404  5 C 2.33-2.43
C 0.4374 0.4374 0.5763  1 C 1.27


Relative energies in eV/atom: arrangement one 0.000; arrangement two 1.279; arrangement three 0.045; arrangement four 0.013


Arrangement one

In3C4: optimized geometry, PBE.

Results
Total moment in μB/f.u.: 0.00

Cell lengths 5.3349, 5.3349, 5.3349 Å; angles 90.00, 90.00, 90.00 degrees
Closest atoms and distances in Å follow each position.
Sites, in units of the cell vectors:
C 0.6981 0.6981 0.6981  3 In 2.20
C 0.3019 0.3019 0.6981  3 In 2.20
In 0.5000 0.5000 0.0000  4 C 2.20
In 0.0000 0.5000 0.5000  4 C 2.20
C 0.3019 0.6981 0.3019  3 In 2.20
C 0.6981 0.3019 0.3019  3 In 2.20
In 0.5000 0.0000 0.5000  4 C 2.20


Arrangement two

In3C4: optimized geometry, PBE.

Results
Total moment in μB/f.u.: 0.00

Cell lengths 4.7264, 4.7264, 4.7264 Å; angles 90.00, 90.00, 90.00 degrees
Closest atoms and distances in Å follow each position.
Sites, in units of the cell vectors:
C 0.5000 0.5000 0.0000  4 In 2.36
C 0.0000 0.5000 0.5000  4 In 2.36
In 0.5000 0.0000 0.0000  6 C 2.36
In 0.0000 0.5000 0.0000  6 C 2.36
C 0.5000 0.0000 0.5000  4 In 2.36
C 0.0000 0.0000 0.0000  6 In 2.36
In 0.0000 0.0000 0.5000  6 C 2.36


Relative energies in eV/atom: arrangement one 0.000; arrangement two 0.025


Arrangement one

In5C4: optimized geometry, PBE.

Results
Total moment in μB/f.u.: 0.00

Cell lengths 7.1178, 7.1178, 6.5249 Å; angles 90.00, 90.00, 120.00 degrees
Closest atoms and distances in Å follow each position.
Sites, in units of the cell vectors:
In 0.3333 0.6667 0.0000  6 C 2.65
In 0.0000 0.2416 0.7500  3 C 2.21-2.37
In 0.0000 0.7584 0.2500  3 C 2.21-2.37
C 0.0000 0.5527 0.7500  1 In 2.21
In 0.6667 0.3333 0.5000  6 C 2.65
C 0.0000 0.4473 0.2500  1 In 2.21
C 0.4473 0.0000 0.2500  1 In 2.21
C 0.5527 0.5527 0.2500  1 In 2.21
C 0.0000 0.0000 0.5000  6 In 2.37
In 0.6667 0.3333 0.0000  6 C 2.65
C 0.4473 0.4473 0.7500  1 In 2.21
C 0.0000 0.0000 0.0000  6 In 2.37
In 0.2416 0.2416 0.2500  3 C 2.21-2.37
In 0.3333 0.6667 0.5000  6 C 2.65
In 0.7584 0.0000 0.2500  3 C 2.21-2.37
In 0.7584 0.7584 0.7500  3 C 2.21-2.37
C 0.5527 0.0000 0.7500  1 In 2.21
In 0.2416 0.0000 0.7500  3 C 2.21-2.37


Arrangement two

In5C4: optimized geometry, PBE.

Results
Total moment in μB/f.u.: 0.00

Cell lengths 6.3400, 6.3400, 6.3400 Å; angles 105.64, 105.64, 117.43 degrees
Closest atoms and distances in Å follow each position.
Sites, in units of the cell vectors:
In 0.0000 0.0000 0.0000  4 In 3.12, 4 C 3.19
In 0.7120 0.7120 0.4241  2 C 2.41
In 0.2880 0.2880 0.5759  2 C 2.41
C 0.0000 0.4158 0.4158  1 C 1.29
In 0.2880 0.7120 0.0000  2 C 2.41
C 0.4158 0.0000 0.4158  1 C 1.29
In 0.7120 0.2880 0.0000  2 C 2.41
C 0.5841 0.0000 0.5841  1 C 1.29
C 0.0000 0.5841 0.5841  1 C 1.29


Relative energies in eV/atom: arrangement one 0.495; arrangement two 0.000